Material: TcMoIO2
Method: DFT, GGA+U
State: optimized geometry

Cell: 3.9521 3.9521 6.0740 Å, 90.00 90.00 90.00°
Each line ends with the local moment (μB).
Sites, in units of the cell vectors:
I 0.0000 0.0000 0.5000  -0.05
Mo 0.5000 0.5000 0.5000  3.94
Tc 0.0000 0.0000 0.0000  -0.36
O 0.0000 0.5000 0.0000  0.01
O 0.5000 0.0000 0.0000  0.01

Results
Symmetry ... P4/mmm
ΔE to the lowest computed polymorph ... 0 meV/atom
DOS(E_F) ... 0.49 states/eV/atom